[1]
# Na2AcSiS4

Na2AcSiS4 after structural relaxation (PBE, the Alexandria database).

Properties
E_form (uncorrected)   -1083 meV/atom

Unit cell a=8.091 b=8.091 c=8.521 alpha=121.76 beta=121.76 gamma=89.90
Fractional positions:
S: 0.716 0.269 0.493
S: 0.231 0.784 0.007
S: 0.746 0.755 0.550
S: 0.284 0.731 0.507
S: 0.745 0.754 0.950
S: 0.254 0.245 0.450
S: 0.769 0.216 0.993
S: 0.255 0.246 0.050
Si: 0.000 0.000 0.000
Si: 0.500 0.500 0.500
Ac: 0.000 0.500 0.500
Ac: 0.000 0.500 0.000
Na: 0.500 0.000 0.500
Na: 0.000 0.000 0.500
Na: 0.500 0.000 0.000
Na: 0.500 0.500 0.000

---

[2]
# Nb6C3N

Nb6C3N after structural relaxation (PBE, the Alexandria database).

Properties
E_form (uncorrected)   -617 meV/atom

Unit cell a=5.455 b=5.455 c=5.977 alpha=62.85 beta=62.85 gamma=60.00
Fractional positions:
N: 0.841 0.841 0.476
C: 0.159 0.159 0.523
C: 0.340 0.340 0.979
C: 0.659 0.659 0.022
Nb: 0.249 0.926 0.250
Nb: 0.748 0.075 0.750
Nb: 0.576 0.249 0.250
Nb: 0.427 0.748 0.750
Nb: 0.926 0.576 0.250
Nb: 0.075 0.427 0.750

---

[3]
# LaZnCrH6

LaZnCrH6 after structural relaxation (PBE, the Alexandria database).

Properties
Raw total energy   -38.03 eV per formula unit

Unit cell a=4.544 b=4.544 c=4.633 alpha=90.00 beta=90.00 gamma=60.00
Last column: magnetic moment on the atom in μB.
Fractional positions:
H: 0.487 0.487 0.237  -0.01
H: 0.487 0.487 0.763  -0.01
H: 0.025 0.487 0.763  -0.01
H: 0.025 0.487 0.237  -0.01
H: 0.487 0.025 0.763  -0.01
H: 0.487 0.025 0.237  -0.01
Zn: 0.667 0.667 0.500  -0.01
Cr: 0.333 0.333 0.500  2.02
La: 0.000 0.000 0.000  0.04

---

[4]
# Sc2FeCl

Sc2FeCl after structural relaxation (PBE, the Alexandria database).

Properties
E_form (uncorrected)   -108 meV/atom

Unit cell a=6.014 b=6.014 c=6.014 alpha=144.53 beta=144.53 gamma=51.03
Last column: magnetic moment on the atom in μB.
Fractional positions:
Cl: 0.500 0.500 0.000  0.03
Fe: 0.750 0.250 0.500  1.82
Sc: 0.250 0.750 0.500  -0.36
Sc: 0.000 0.000 0.000  -0.24